1.
The following is a PBE calculation of a relaxed structure of ZrTc4Br, from Alexandria.

* spin magnetization: 0.000 μB per atom
* formation energy (no corrections): 516 meV/atom

abc: 7.4584 7.4584 7.4584
angles: 90.00 90.00 90.00
Last column: nearest neighbours and their distance in Å.
Space group F-43m (No. 216)
Asymmetric unit:
Zr 0.0000 0.0000 0.0000  12 Tc 3.09, 4 Br 3.23
Tc 0.1249 0.1249 0.3751  6 Tc 2.64
Br 0.2500 0.2500 0.7500  12 Tc 3.09, 4 Zr 3.23

---

2.
The following is a PBE calculation of a relaxed structure of ZrTcBr2, from Alexandria.

* spin magnetization: 0.000 μB per atom
* distance to the lowest polymorph of the same formula: 96.8 kJ/mol of atoms
* formation energy (no corrections): 651 meV/atom

abc: 6.0502 6.0502 10.9241
angles: 90.00 90.00 90.00
Last column: nearest neighbours and their distance in Å.
Space group I-42d (No. 122)
Asymmetric unit:
Zr 0.0000 0.0000 0.0000  4 Br 2.64
Tc 0.0000 0.0000 0.5000  4 Br 2.44
Br 0.2225 0.2500 0.6250  2 Tc 2.44, 2 Zr 2.64

---

3.
The following is a PBE calculation of a relaxed structure of Zr4TcBr, from Alexandria.

* spin magnetization: 0.001 μB per atom
* formation energy (no corrections): 716 meV/atom

abc: 8.0657 8.0657 8.0657
angles: 90.00 90.00 90.00
Last column: nearest neighbours and their distance in Å.
Space group F-43m (No. 216)
Asymmetric unit:
Zr 0.1224 0.1224 0.3776  6 Zr 2.79-2.91
Tc 0.2500 0.2500 0.7500  12 Zr 3.34, 4 Br 3.49
Br 0.0000 0.0000 0.0000  12 Zr 3.35, 4 Tc 3.49

---

4.
The following is a PBE calculation of a relaxed structure of Zr2TcBr, from Alexandria.

* spin magnetization: 0.000 μB per atom
* distance to the lowest polymorph of the same formula: 40.3 kJ/mol of atoms
* formation energy (no corrections): -89 meV/atom

abc: 10.5133 3.2664 4.6268
angles: 90.00 96.93 90.00
Last column: nearest neighbours and their distance in Å.
Space group Cm (No. 8)
Asymmetric unit:
Zr 0.0000 0.0000 0.0000  4 Tc 2.75-2.98, 3 Br 2.79-3.00
Zr 0.2132 0.5000 0.5785  1 Tc 2.63, 4 Br 2.85-2.93
Tc 0.4610 0.0000 0.5200  3 Zr 2.63-2.75, 1 Br 2.69
Br 0.2675 0.0000 0.0824  1 Tc 2.69, 7 Zr 2.79-3.00

---

5.
The following is a PBE calculation of a relaxed structure of ZrTcBr2, from Alexandria.

* spin magnetization: 0.381 μB per atom
* distance to the lowest polymorph of the same formula: 85.1 kJ/mol of atoms
* formation energy (no corrections): 529 meV/atom

abc: 6.9169 6.9169 6.9169
angles: 90.00 90.00 90.00
Last column: nearest neighbours and their distance in Å.
Space group F-43m (No. 216)
Asymmetric unit:
Zr 0.0000 0.0000 0.0000  4 Br 3.00, 4 Tc 3.00
Tc 0.2500 0.2500 0.7500  4 Zr 3.00, 4 Br 3.00
Br 0.0000 0.0000 0.5000  4 Tc 3.00, 4 Br 3.00
Br 0.2500 0.2500 0.2500  4 Zr 3.00, 4 Br 3.00

---

6.
The following is a PBE calculation of a relaxed structure of ZrTcBr2, from Alexandria.

* spin magnetization: 0.716 μB per atom
* distance to the lowest polymorph of the same formula: 72.7 kJ/mol of atoms
* formation energy (no corrections): 400 meV/atom

abc: 3.4342 3.4514 6.5677
angles: 90.00 90.00 90.00
Last column: nearest neighbours and their distance in Å.
Space group Pmmm (No. 47)
Asymmetric unit:
Zr 0.0000 0.0000 0.0000  8 Br 2.91
Tc 0.0000 0.0000 0.5000  8 Br 2.96, 2 Zr 3.28
Br 0.5000 0.5000 0.2429  4 Zr 2.91, 4 Tc 2.96, 1 Br 3.19

---

7.
The following is a PBE calculation of a relaxed structure of ZrTcBr2, from Alexandria.

* spin magnetization: 0.000 μB per atom
* distance to the lowest polymorph of the same formula: 4.3 kJ/mol of atoms
* formation energy (no corrections): -308 meV/atom

abc: 3.4436 3.4436 28.9181
angles: 90.00 90.00 120.00
Last column: nearest neighbours and their distance in Å.
Space group R3m (No. 160, hexagonal axes)
Asymmetric unit:
Zr 0.0000 0.0000 0.0000  3 Tc 2.74, 3 Br 2.83
Tc 0.0000 0.0000 0.2684  3 Zr 2.74, 3 Br 2.76
Br 0.0000 0.0000 0.5356  3 Tc 2.76
Br 0.0000 0.0000 0.7362  3 Zr 2.83

---

8.
The following is a PBE calculation of a relaxed structure of Zr2TcBr, from Alexandria.

* spin magnetization: 0.000 μB per atom
* distance to the lowest polymorph of the same formula: 9.5 kJ/mol of atoms
* formation energy (no corrections): -407 meV/atom

abc: 4.6012 4.6090 7.9015
angles: 90.00 90.00 90.00
Last column: nearest neighbours and their distance in Å.
Space group Cmmm (No. 65)
Asymmetric unit:
Zr 0.0000 0.0000 0.2037  4 Tc 2.81
Tc 0.0000 0.5000 0.0000  8 Zr 2.81
Br 0.0000 0.5000 0.5000  4 Br 3.26, 8 Zr 3.28-3.29

---

Question: spin magnetization of number 8 (Zr2TcBr)?
Answer: 0.000 μB per atom

---

Question: Look up the formation energy (no corrections) of the third one.
Answer: 716 meV/atom

---

Question: What is the spin magnetization in the third record?
Answer: 0.001 μB per atom